# Cd2In4Ga5 | Alexandria via LeMat-Bulk | PBE | optimized geometry
# * uncorrected energy: -2.49 eV/atom
# * Fermi-level density of states: 3.1 states/eV/f.u.
# * DFT formation energy: 0.043 eV per atom
data_Cd2In4Ga5
_chemical_formula_sum 'Cd4 In8 Ga10'
_symmetry_space_group_name_H-M 'C 1 2/m 1'
_symmetry_Int_Tables_number 12
_cell_length_a 16.9784
_cell_length_b 4.3929
_cell_length_c 6.8485
_cell_angle_alpha 90.00
_cell_angle_beta 100.90
_cell_angle_gamma 90.00
loop_
_symmetry_equiv_pos_as_xyz
'x,y,z'
'-x,-y,-z'
'-x,y,-z'
'x,-y,z'
'x+1/2,y+1/2,z'
'-x+1/2,-y+1/2,-z'
'-x+1/2,y+1/2,-z'
'x+1/2,-y+1/2,z'
loop_
_atom_site_label
_atom_site_type_symbol
_atom_site_fract_x
_atom_site_fract_y
_atom_site_fract_z
Cd1 Cd 0.0947 0.0000 0.4404
In1 In 0.0433 0.5000 0.7373
In2 In 0.1834 0.0000 0.9070
Ga1 Ga 0.0000 0.0000 0.0000
Ga2 Ga 0.1431 0.5000 0.1934
Ga3 Ga 0.2307 0.5000 0.6199